A relaxed structure of TaNb3Rh. Source: the Alexandria database, functional PBE.

Summary:
M_tot (μB/f.u.): 0.00
DFT formation energy (eV per formula unit): 8.042
Total DFT energy (no corrections) (eV per atom): -8.27
Excess energy over the best structure of this formula in the dataset (meV/atom): 1668.0

a b c (Å): 4.8320 4.8320 4.8320
angles (deg): 90.00 90.00 90.00
Space group Pm-3m (No. 221)
Unique sites:
Ta (0.0000, 0.0000, 0.0000) [1 per cell]
Nb (0.0000, 0.0000, 0.5000) [3 per cell]
Rh (0.5000, 0.5000, 0.5000) [1 per cell]

A relaxed structure of LaDyMgOs. Source: the Alexandria database, functional PBE.

Summary:
M_tot (μB/f.u.): 0.00
DFT formation energy (eV per formula unit): -0.152
Total DFT energy (no corrections) (eV per atom): -5.63

a b c (Å): 7.2413 7.2413 7.2413
angles (deg): 90.00 90.00 90.00
Space group F-43m (No. 216)
Unique sites:
La (0.0000, 0.0000, 0.0000) [4 per cell]
Dy (0.0000, 0.0000, 0.5000) [4 per cell]
Mg (0.2500, 0.2500, 0.2500) [4 per cell]
Os (0.2500, 0.2500, 0.7500) [4 per cell]

A relaxed structure of TaCo. Source: the Alexandria database, functional PBE.

Summary:
M_tot (μB/f.u.): 0.00
DFT formation energy (eV per formula unit): 1.272
Total DFT energy (no corrections) (eV per atom): -8.84

a b c (Å): 4.1736 4.1736 4.8696
angles (deg): 90.00 90.00 120.00
Space group P6_3/mmc (No. 194)
Unique sites:
Ta (0.3333, 0.6667, 0.2500) [2 per cell]
Co (0.3333, 0.6667, 0.7500) [2 per cell]

A relaxed structure of Ba4LaZn5. Source: the Alexandria database, functional PBE.

Summary:
M_tot (μB/f.u.): 0.03
DFT formation energy (eV per formula unit): -1.834
Total DFT energy (no corrections) (eV per atom): -2.08

a b c (Å): 4.0182 4.0182 20.3060
angles (deg): 90.00 90.00 90.00
Space group P4/mmm (No. 123)
Unique sites:
Ba (0.0000, 0.0000, 0.1029) [2 per cell]
Ba (0.0000, 0.0000, 0.3098) [2 per cell]
La (0.0000, 0.0000, 0.5000) [1 per cell]
Zn (0.5000, 0.5000, 0.0000) [1 per cell]
Zn (0.5000, 0.5000, 0.2052) [2 per cell]
Zn (0.5000, 0.5000, 0.4211) [2 per cell]

A relaxed structure of Mg5Cd7. Source: the Alexandria database, functional PBE.

Summary:
M_tot (μB/f.u.): 0.00
DFT formation energy (eV per formula unit): -0.810
Total DFT energy (no corrections) (eV per atom): -1.27
Excess energy over the best structure of this formula in the dataset (meV/atom): 0.0

a b c (Å): 15.9633 3.2949 11.4046
angles (deg): 90.00 118.59 90.00
Space group C2/m (No. 12)
Unique sites:
Mg (0.0000, 0.0000, 0.0000) [2 per cell]
Mg (0.1630, 0.0000, 0.4946) [4 per cell]
Mg (0.1923, 0.5000, 0.7502) [4 per cell]
Cd (0.0000, 0.5000, 0.5000) [2 per cell]
Cd (0.0277, 0.0000, 0.7549) [4 per cell]
Cd (0.1448, 0.5000, 0.2529) [4 per cell]
Cd (0.1671, 0.5000, 0.0021) [4 per cell]

A relaxed structure of PHOsO. Source: the Alexandria database, functional PBE.

Summary:
M_tot (μB/f.u.): 0.00
Total DFT energy (no corrections) (eV per atom): -6.66
Excess energy over the best structure of this formula in the dataset (meV/atom): 57.9

a b c (Å): 3.0626 3.3731 5.3037
angles (deg): 108.25 90.54 116.14
Space group P1 (No. 1)
Unique sites:
P (0.0000, 0.0000, 0.0000) [1 per cell]
H (0.5631, 0.1159, 0.6553) [1 per cell]
Os (0.2234, 0.4443, 0.7291) [1 per cell]
O (0.1019, 0.2059, 0.3079) [1 per cell]

A relaxed structure of Y4TmIn5. Source: the Alexandria database, functional PBE.

Summary:
M_tot (μB/f.u.): 0.00
DFT formation energy (eV per formula unit): -4.830
Total DFT energy (no corrections) (eV per atom): -4.88

a b c (Å): 3.7412 3.7412 18.9440
angles (deg): 90.00 90.00 90.00
Space group P4/mmm (No. 123)
Unique sites:
Y (0.0000, 0.0000, 0.1009) [2 per cell]
Y (0.0000, 0.0000, 0.3025) [2 per cell]
Tm (0.0000, 0.0000, 0.5000) [1 per cell]
In (0.5000, 0.5000, 0.0000) [1 per cell]
In (0.5000, 0.5000, 0.2017) [2 per cell]
In (0.5000, 0.5000, 0.4034) [2 per cell]

A relaxed structure of Sc2AlPd. Source: the Alexandria database, functional PBE.

Summary:
M_tot (μB/f.u.): 0.00
DFT formation energy (eV per formula unit): -2.712
Total DFT energy (no corrections) (eV per atom): -6.08

a b c (Å): 3.3777 3.3777 6.5863
angles (deg): 90.00 90.00 90.00
Space group P4/mmm (No. 123)
Unique sites:
Sc (0.0000, 0.0000, 0.2416) [2 per cell]
Al (0.5000, 0.5000, 0.5000) [1 per cell]
Pd (0.5000, 0.5000, 0.0000) [1 per cell]

A relaxed structure of Pa3Si2Ni4. Source: the Alexandria database, functional PBE.

Summary:
M_tot (μB/f.u.): 0.00
Total DFT energy (no corrections) (eV per atom): -7.55
Raw formation energy (eV per atom): -0.609

a b c (Å): 10.2438 4.0951 7.9500
angles (deg): 90.00 114.65 90.00
Space group C2/m (No. 12)
Unique sites:
Pa (0.0000, 0.0000, 0.0000) [2 per cell]
Pa (0.1322, 0.5000, 0.6823) [4 per cell]
Si (0.1508, 0.5000, 0.3095) [4 per cell]
Ni (0.0949, 0.0000, 0.4190) [4 per cell]
Ni (0.2159, 0.5000, 0.0619) [4 per cell]

A relaxed structure of LaDy5Mg6. Source: the Alexandria database, functional PBE.

Summary:
M_tot (μB/f.u.): 0.00
DFT formation energy (eV per formula unit): -1.003
Total DFT energy (no corrections) (eV per atom): -3.21

a b c (Å): 5.3978 16.1947 7.6230
angles (deg): 90.00 90.00 90.00
Space group Cmmm (No. 65)
Unique sites:
La (0.0000, 0.0000, 0.0000) [2 per cell]
Dy (0.0000, 0.0000, 0.5000) [2 per cell]
Dy (0.0000, 0.3314, 0.0000) [4 per cell]
Dy (0.0000, 0.3355, 0.5000) [4 per cell]
Mg (0.0000, 0.1689, 0.2555) [8 per cell]
Mg (0.0000, 0.5000, 0.2551) [4 per cell]

A relaxed structure of BaInCu3. Source: the Alexandria database, functional PBE.

Summary:
M_tot (μB/f.u.): 0.00
DFT formation energy (eV per formula unit): 0.895
Total DFT energy (no corrections) (eV per atom): -3.21
Excess energy over the best structure of this formula in the dataset (meV/atom): 0.0

a b c (Å): 5.0150 5.0150 5.0150
angles (deg): 90.00 90.00 90.00
Space group Pm-3m (No. 221)
Unique sites:
Ba (0.0000, 0.0000, 0.0000) [1 per cell]
In (0.5000, 0.5000, 0.5000) [1 per cell]
Cu (0.0000, 0.5000, 0.5000) [3 per cell]

A relaxed structure of NbIr2F. Source: the Alexandria database, functional PBE.

Summary:
M_tot (μB/f.u.): 0.00
Total DFT energy (no corrections) (eV per atom): -7.52
Excess energy over the best structure of this formula in the dataset (meV/atom): 190.4
Raw formation energy (eV per atom): -0.107

a b c (Å): 6.1902 6.1902 6.1902
angles (deg): 90.00 90.00 90.00
Space group Fm-3m (No. 225)
Unique sites:
Nb (0.0000, 0.0000, 0.0000) [4 per cell]
Ir (0.2500, 0.2500, 0.2500) [8 per cell]
F (0.0000, 0.0000, 0.5000) [4 per cell]

A relaxed structure of Be3NbPt. Source: the Alexandria database, functional PBE.

Summary:
M_tot (μB/f.u.): 0.00
DFT formation energy (eV per formula unit): 7.650
Total DFT energy (no corrections) (eV per atom): -3.93
Excess energy over the best structure of this formula in the dataset (meV/atom): 1812.4

a b c (Å): 4.2348 4.2348 4.2348
angles (deg): 90.00 90.00 90.00
Space group Pm-3m (No. 221)
Unique sites:
Be (0.0000, 0.0000, 0.5000) [3 per cell]
Nb (0.0000, 0.0000, 0.0000) [1 per cell]
Pt (0.5000, 0.5000, 0.5000) [1 per cell]

A relaxed structure of Tm2CuHg. Source: the Alexandria database, functional PBE.

Summary:
M_tot (μB/f.u.): 0.00
DFT formation energy (eV per formula unit): -1.459
Total DFT energy (no corrections) (eV per atom): -3.70
Excess energy over the best structure of this formula in the dataset (meV/atom): 12.3

a b c (Å): 5.0651 3.5434 10.0287
angles (deg): 90.00 90.00 90.00
Space group Pmma (No. 51)
Unique sites:
Tm (0.2500, 0.0000, 0.1119) [2 per cell]
Tm (0.2500, 0.0000, 0.6436) [2 per cell]
Cu (0.2500, 0.5000, 0.8799) [2 per cell]
Hg (0.2500, 0.5000, 0.3774) [2 per cell]

A relaxed structure of PrNpS2N. Source: the Alexandria database, functional PBE.

Summary:
M_tot (μB/f.u.): 2.73
Total DFT energy (no corrections) (eV per atom): -8.46
Raw formation energy (eV per atom): -1.601

a b c (Å): 3.8904 3.8904 14.2952
angles (deg): 90.00 90.00 90.00
Space group P4/nmm (No. 129, origin choice 2)
Unique sites:
Pr (0.2500, 0.2500, 0.1286) [2 per cell]
Np (0.2500, 0.2500, 0.5798) [2 per cell]
S (0.2500, 0.2500, 0.3196) [2 per cell]
S (0.2500, 0.2500, 0.9104) [2 per cell]
N (0.2500, 0.7500, 0.5000) [2 per cell]

A relaxed structure of KVS. Source: the Alexandria database, functional PBE.

Summary:
M_tot (μB/f.u.): 2.76
Total DFT energy (no corrections) (eV per atom): -4.88
Raw formation energy (eV per atom): -0.100

a b c (Å): 8.1416 9.6893 13.4505
angles (deg): 90.00 90.00 90.00
Space group Fddd (No. 70, origin choice 2)
Unique sites:
K (0.1250, 0.1250, 0.0202) [16 per cell]
V (0.1250, 0.1250, 0.5122) [16 per cell]
S (0.1250, 0.3155, 0.6250) [16 per cell]

A relaxed structure of Li2Zn2SbO6. Source: the Alexandria database, functional PBE.

Summary:
M_tot (μB/f.u.): 1.04
Total DFT energy (no corrections) (eV per atom): -5.05
Raw formation energy (eV per atom): -1.388

a b c (Å): 5.0963 5.0963 4.8648
angles (deg): 90.00 90.00 120.00
Space group P-31m (No. 162)
Unique sites:
Li (0.3333, 0.6667, 0.0000) [2 per cell]
Zn (0.3333, 0.6667, 0.5000) [2 per cell]
Sb (0.0000, 0.0000, 0.0000) [1 per cell]
O (0.0000, 0.3320, 0.2340) [6 per cell]

A relaxed structure of Sm2ZrAl2Rh5. Source: the Alexandria database, functional PBE.

Summary:
M_tot (μB/f.u.): 0.00
DFT formation energy (eV per formula unit): -8.595
Total DFT energy (no corrections) (eV per atom): -7.08

a b c (Å): 10.1366 10.1366 3.4936
angles (deg): 90.00 90.00 90.00
Space group P4/mbm (No. 127)
Unique sites:
Sm (0.1745, 0.3255, 0.0000) [4 per cell]
Zr (0.0000, 0.0000, 0.0000) [2 per cell]
Al (0.1222, 0.6222, 0.0000) [4 per cell]
Rh (0.0000, 0.5000, 0.5000) [2 per cell]
Rh (0.0678, 0.7912, 0.5000) [8 per cell]

A relaxed structure of Rb4Y3PbO8. Source: the Alexandria database, functional PBE.

Summary:
M_tot (μB/f.u.): 0.00
Total DFT energy (no corrections) (eV per atom): -6.43
Raw formation energy (eV per atom): -2.270

a b c (Å): 7.0968 7.0968 19.7435
angles (deg): 90.00 90.00 120.00
Space group R-3m (No. 166, hexagonal axes)
Unique sites:
Rb (0.0000, 0.0000, 0.0000) [3 per cell]
Rb (0.0000, 0.5000, 0.0000) [9 per cell]
Y (0.0000, 0.5000, 0.5000) [9 per cell]
Pb (0.0000, 0.0000, 0.5000) [3 per cell]
O (0.0000, 0.0000, 0.2251) [6 per cell]
O (0.0134, 0.5067, 0.7728) [18 per cell]

A relaxed structure of Pr6Er7. Source: the Alexandria database, functional PBE.

Summary:
M_tot (μB/f.u.): 7.90
DFT formation energy (eV per formula unit): 3.287
Total DFT energy (no corrections) (eV per atom): -4.41

a b c (Å): 6.7088 6.7088 34.7955
angles (deg): 90.00 90.00 120.00
Space group R-3m (No. 166, hexagonal axes)
Unique sites:
Pr (0.0000, 0.0000, 0.0496) [6 per cell]
Pr (0.0000, 0.0000, 0.1529) [6 per cell]
Pr (0.0000, 0.0000, 0.3332) [6 per cell]
Er (0.0000, 0.0000, 0.5000) [3 per cell]
Er (0.0017, 0.5008, 0.9128) [18 per cell]